# 1
FeSiAu2 | GGA-PBE | relaxed

a b c (Å): 4.8516 4.8516 4.8516
angles (deg): 131.22 131.22 71.47
Last column: nearest neighbours and their distance in Å.
Sites, in units of the cell vectors:
Au1 0.0000 0.0000 0.0000  4 Fe 2.81, 4 Si 2.81, 4 Au 2.83
Au2 0.5000 0.5000 0.0000  4 Si 2.81, 4 Fe 2.81, 4 Au 2.83
Fe1 0.2500 0.7500 0.5000  8 Au 2.81, 4 Si 2.83
Si1 0.7500 0.2500 0.5000  8 Au 2.81, 4 Fe 2.83

Output
Uncorrected formation energy in eV/atom: 0.23
Volume in A^3/atom: 15.81
Symmetry: No. 139

# 2
Fe2Si2Au | GGA-PBE | relaxed

a b c (Å): 6.9048 6.9048 2.6672
angles (deg): 90.00 90.00 90.00
Last column: nearest neighbours and their distance in Å.
Sites, in units of the cell vectors:
Si1 0.1528 0.6528 0.5000  6 Fe 2.42-2.43, 2 Si 2.67
Si2 0.6528 0.8472 0.5000  6 Fe 2.42-2.43, 2 Si 2.67
Si3 0.8472 0.3472 0.5000  6 Fe 2.42-2.43, 2 Si 2.67
Si4 0.3472 0.1528 0.5000  6 Fe 2.42-2.43, 2 Si 2.67
Au1 0.0000 0.0000 0.0000  2 Au 2.67, 4 Fe 2.67, 8 Si 2.94
Au2 0.5000 0.5000 0.0000  2 Au 2.67, 4 Fe 2.67, 8 Si 2.94
Fe1 0.3605 0.8605 0.0000  6 Si 2.42-2.43, 2 Fe 2.67, 2 Au 2.67
Fe2 0.8605 0.6395 0.0000  6 Si 2.42-2.43, 2 Fe 2.67, 2 Au 2.67
Fe3 0.6395 0.1395 0.0000  6 Si 2.42-2.43, 2 Fe 2.67, 2 Au 2.67
Fe4 0.1395 0.3605 0.0000  6 Si 2.42-2.43, 2 Fe 2.67, 2 Au 2.67

Output
Uncorrected formation energy in eV/atom: -0.12
Volume in A^3/atom: 12.72
Symmetry: No. 127